[1]
Compound: CoRe2B2
Source: Alexandria
Functional: GGA-PBEsol
Structure: relaxed

Calculated values
ΔE_f = -151 kJ/mol of formula units
crystal system = tetragonal

a b c (Å): 3.3933 5.3820 5.3820
angles (deg): 90.00 90.00 90.00
Fractional positions:
Re (0.5000, 0.1796, 0.6796)
Re (0.5000, 0.6796, 0.8204)
Re (0.5000, 0.8204, 0.3204)
Re (0.5000, 0.3204, 0.1796)
B (0.0000, 0.3807, 0.8807)
B (0.0000, 0.8807, 0.6193)
B (0.0000, 0.6193, 0.1193)
B (0.0000, 0.1193, 0.3807)
Co (0.0000, 0.0000, 0.0000)
Co (0.0000, 0.5000, 0.5000)

---

[2]
Compound: Sc2CoReB
Source: Alexandria
Functional: GGA-PBEsol
Structure: relaxed

Calculated values
ΔE_f = 461 kJ/mol of formula units
crystal system = tetragonal

a b c (Å): 3.9929 4.9609 4.9609
angles (deg): 90.00 90.00 90.00
Site moments in Bohr magnetons follow the coordinates.
Fractional positions:
Sc (0.0000, 0.0000, 0.5000)  0.09
Sc (0.0000, 0.5000, 0.0000)  0.09
Re (0.0000, 0.0000, 0.0000)  -0.10
B (0.5000, 0.0000, 0.0000)  -0.01
Co (0.5000, 0.5000, 0.5000)  -1.76

---

[3]
Compound: CoBRh3
Source: Alexandria
Functional: GGA-PBEsol
Structure: relaxed

Calculated values
ΔE_f = 934 kJ/mol of formula units
crystal system = cubic

a b c (Å): 4.3249 4.3249 4.3249
angles (deg): 90.00 90.00 90.00
Site moments in Bohr magnetons follow the coordinates.
Fractional positions:
Co (0.0000, 0.0000, 0.0000)  1.50
B (0.5000, 0.5000, 0.5000)  -0.03
Rh (0.0000, 0.5000, 0.0000)  0.59
Rh (0.0000, 0.0000, 0.5000)  0.59
Rh (0.5000, 0.0000, 0.0000)  0.59

---

[4]
Compound: CoB3Ru
Source: Alexandria
Functional: GGA-PBEsol
Structure: relaxed

Calculated values
ΔE_f = 646 kJ/mol of formula units
crystal system = cubic

a b c (Å): 3.9334 3.9334 3.9334
angles (deg): 90.00 90.00 90.00
Site moments in Bohr magnetons follow the coordinates.
Fractional positions:
Ru (0.0000, 0.0000, 0.0000)  0.05
B (0.0000, 0.5000, 0.0000)  0.04
B (0.0000, 0.0000, 0.5000)  0.04
B (0.5000, 0.0000, 0.0000)  0.04
Co (0.5000, 0.5000, 0.5000)  1.70

---

[5]
Compound: CoB2Ru2
Source: Alexandria
Functional: GGA-PBEsol
Structure: relaxed

Calculated values
ΔE_f = -135 kJ/mol of formula units
crystal system = tetragonal

a b c (Å): 3.3993 5.2685 5.2685
angles (deg): 90.00 90.00 90.00
Fractional positions:
Ru (0.5000, 0.1789, 0.6789)
Ru (0.5000, 0.6789, 0.8211)
Ru (0.5000, 0.8211, 0.3211)
Ru (0.5000, 0.3211, 0.1789)
B (0.0000, 0.3760, 0.8760)
B (0.0000, 0.8760, 0.6240)
B (0.0000, 0.6240, 0.1240)
B (0.0000, 0.1240, 0.3760)
Co (0.0000, 0.0000, 0.0000)
Co (0.0000, 0.5000, 0.5000)

---

[6]
Compound: CoB2S
Source: Alexandria
Functional: GGA-PBEsol
Structure: relaxed

Calculated values
crystal system = tetragonal
uncorrected formation energy = 35 kJ/mol of atoms

a b c (Å): 4.6246 5.1927 4.6246
angles (deg): 63.56 90.00 116.44
Fractional positions:
S (0.2500, 0.5000, 0.2500)
S (0.5000, 0.0000, 0.5000)
B (0.1303, 0.7500, 0.8750)
B (0.6197, 0.7500, 0.3750)
B (0.3750, 0.2500, 0.1303)
B (0.8750, 0.2500, 0.6197)
Co (0.7500, 0.5000, 0.7500)
Co (0.0000, 0.0000, 0.0000)

---

[7]
Compound: Co22B6Sb
Source: Alexandria
Functional: GGA-PBEsol
Structure: relaxed

Calculated values
crystal system = cubic
uncorrected formation energy = -13 kJ/mol of atoms

a b c (Å): 7.3230 7.3230 7.3230
angles (deg): 60.00 60.00 60.00
Site moments in Bohr magnetons follow the coordinates.
Fractional positions:
Co (0.7500, 0.7500, 0.7500)  1.89
Co (0.2500, 0.2500, 0.2500)  1.89
Co (0.6201, 0.1397, 0.6201)  0.88
Co (0.6201, 0.6201, 0.1397)  0.88
Co (0.6201, 0.6201, 0.6201)  0.88
Co (0.1397, 0.6201, 0.6201)  0.88
Co (0.3799, 0.8603, 0.3799)  0.88
Co (0.3799, 0.3799, 0.8603)  0.88
Co (0.3799, 0.3799, 0.3799)  0.88
Co (0.8603, 0.3799, 0.3799)  0.88
Co (0.6551, 0.3449, 0.0000)  1.15
Co (0.0000, 0.3449, 0.0000)  1.15
Co (0.0000, 0.3449, 0.6551)  1.15
Co (0.0000, 0.0000, 0.3449)  1.15
Co (0.6551, 0.0000, 0.3449)  1.15
Co (0.0000, 0.6551, 0.3449)  1.15
Co (0.0000, 0.0000, 0.6551)  1.15
Co (0.0000, 0.6551, 0.0000)  1.15
Co (0.6551, 0.0000, 0.0000)  1.15
Co (0.3449, 0.6551, 0.0000)  1.15
Co (0.3449, 0.0000, 0.6551)  1.15
Co (0.3449, 0.0000, 0.0000)  1.15
B (0.2808, 0.2808, 0.7192)  -0.08
B (0.7192, 0.2808, 0.7192)  -0.08
B (0.7192, 0.2808, 0.2808)  -0.08
B (0.7192, 0.7192, 0.2808)  -0.08
B (0.2808, 0.7192, 0.2808)  -0.08
B (0.2808, 0.7192, 0.7192)  -0.08
Sb (0.0000, 0.0000, 0.0000)  -0.05

---

[8]
Compound: Co21B6Sb2
Source: Alexandria
Functional: GGA-PBEsol
Structure: relaxed

Calculated values
crystal system = cubic
uncorrected formation energy = -23 kJ/mol of atoms

a b c (Å): 7.3561 7.3561 7.3561
angles (deg): 60.00 60.00 60.00
Site moments in Bohr magnetons follow the coordinates.
Fractional positions:
Co (0.0000, 0.0000, 0.0000)  1.68
Co (0.6164, 0.1508, 0.6164)  0.38
Co (0.6164, 0.6164, 0.1508)  0.38
Co (0.6164, 0.6164, 0.6164)  0.38
Co (0.1508, 0.6164, 0.6164)  0.38
Co (0.3836, 0.8492, 0.3836)  0.38
Co (0.3836, 0.3836, 0.8492)  0.38
Co (0.3836, 0.3836, 0.3836)  0.38
Co (0.8492, 0.3836, 0.3836)  0.38
Co (0.6661, 0.3339, 0.0000)  1.11
Co (0.0000, 0.3339, 0.0000)  1.11
Co (0.0000, 0.3339, 0.6661)  1.11
Co (0.0000, 0.0000, 0.3339)  1.11
Co (0.6661, 0.0000, 0.3339)  1.11
Co (0.0000, 0.6661, 0.3339)  1.11
Co (0.0000, 0.0000, 0.6661)  1.11
Co (0.0000, 0.6661, 0.0000)  1.11
Co (0.6661, 0.0000, 0.0000)  1.11
Co (0.3339, 0.6661, 0.0000)  1.11
Co (0.3339, 0.0000, 0.6661)  1.11
Co (0.3339, 0.0000, 0.0000)  1.11
B (0.2760, 0.2760, 0.7240)  -0.06
B (0.7240, 0.2760, 0.7240)  -0.06
B (0.7240, 0.2760, 0.2760)  -0.06
B (0.7240, 0.7240, 0.2760)  -0.06
B (0.2760, 0.7240, 0.2760)  -0.06
B (0.2760, 0.7240, 0.7240)  -0.06
Sb (0.7500, 0.7500, 0.7500)  -0.03
Sb (0.2500, 0.2500, 0.2500)  -0.03

---

[9]
Compound: CoBSb3
Source: Alexandria
Functional: GGA-PBEsol
Structure: relaxed

Calculated values
crystal system = cubic
uncorrected formation energy = 105 kJ/mol of atoms

a b c (Å): 4.6567 4.6567 4.6567
angles (deg): 90.00 90.00 90.00
Site moments in Bohr magnetons follow the coordinates.
Fractional positions:
Sb (0.0000, 0.5000, 0.0000)  -0.03
Sb (0.0000, 0.0000, 0.5000)  -0.03
Sb (0.5000, 0.0000, 0.0000)  -0.03
B (0.0000, 0.0000, 0.0000)  -0.03
Co (0.5000, 0.5000, 0.5000)  1.36

---

[10]
Compound: TlCo2BSb
Source: Alexandria
Functional: GGA-PBEsol
Structure: relaxed

Calculated values
crystal system = tetragonal
uncorrected formation energy = 166 kJ/mol of atoms

a b c (Å): 4.0280 4.8215 4.8215
angles (deg): 90.00 90.00 90.00
Site moments in Bohr magnetons follow the coordinates.
Fractional positions:
Sb (0.5000, 0.5000, 0.5000)  -0.04
Tl (0.0000, 0.0000, 0.0000)  -0.04
B (0.5000, 0.0000, 0.0000)  -0.01
Co (0.0000, 0.0000, 0.5000)  1.29
Co (0.0000, 0.5000, 0.0000)  1.29

---

[11]
Compound: ScCo3B2
Source: Alexandria
Functional: GGA-PBEsol
Structure: relaxed

Calculated values
ΔE_f = -356 kJ/mol of formula units
crystal system = hexagonal

a b c (Å): 2.9365 4.8360 4.8360
angles (deg): 120.00 90.00 90.00
Fractional positions:
Sc (0.0000, 0.0000, 0.0000)
B (0.0000, 0.3333, 0.6667)
B (0.0000, 0.6667, 0.3333)
Co (0.5000, 0.0000, 0.5000)
Co (0.5000, 0.5000, 0.0000)
Co (0.5000, 0.5000, 0.5000)

---

[12]
Compound: Sc3CoB
Source: Alexandria
Functional: GGA-PBEsol
Structure: relaxed

Calculated values
ΔE_f = 277 kJ/mol of formula units
crystal system = cubic

a b c (Å): 4.5973 4.5973 4.5973
angles (deg): 90.00 90.00 90.00
Fractional positions:
Sc (0.0000, 0.5000, 0.0000)
Sc (0.0000, 0.0000, 0.5000)
Sc (0.5000, 0.0000, 0.0000)
B (0.5000, 0.5000, 0.5000)
Co (0.0000, 0.0000, 0.0000)

---

[13]
Compound: ScCoB3
Source: Alexandria
Functional: GGA-PBEsol
Structure: relaxed

Calculated values
ΔE_f = 1154 kJ/mol of formula units
crystal system = cubic

a b c (Å): 4.1115 4.1115 4.1115
angles (deg): 90.00 90.00 90.00
Site moments in Bohr magnetons follow the coordinates.
Fractional positions:
Sc (0.0000, 0.0000, 0.0000)  -0.08
B (0.0000, 0.5000, 0.0000)  -0.03
B (0.0000, 0.0000, 0.5000)  -0.03
B (0.5000, 0.0000, 0.0000)  -0.03
Co (0.5000, 0.5000, 0.5000)  2.00

---

[14]
Compound: SrScCoB2
Source: Alexandria
Functional: GGA-PBEsol
Structure: relaxed

Calculated values
ΔE_f = 1337 kJ/mol of formula units
crystal system = tetragonal

a b c (Å): 4.4784 4.4784 5.0231
angles (deg): 90.00 90.00 90.00
Site moments in Bohr magnetons follow the coordinates.
Fractional positions:
Sc (0.0000, 0.0000, 0.5000)  -0.19
Sr (0.0000, 0.0000, 0.0000)  -0.03
B (0.0000, 0.5000, 0.0000)  0.00
B (0.5000, 0.0000, 0.0000)  0.00
Co (0.5000, 0.5000, 0.5000)  1.93

---

[15]
Compound: SrScCo2B
Source: Alexandria
Functional: GGA-PBEsol
Structure: relaxed

Calculated values
ΔE_f = 517 kJ/mol of formula units
crystal system = tetragonal

a b c (Å): 4.4462 4.4462 4.6996
angles (deg): 90.00 90.00 90.00
Fractional positions:
Sc (0.0000, 0.0000, 0.0000)
Sr (0.5000, 0.5000, 0.5000)
B (0.0000, 0.0000, 0.5000)
Co (0.0000, 0.5000, 0.0000)
Co (0.5000, 0.0000, 0.0000)

---

[16]
Compound: Sr2ScCoB
Source: Alexandria
Functional: GGA-PBEsol
Structure: relaxed

Calculated values
ΔE_f = 449 kJ/mol of formula units
crystal system = tetragonal

a b c (Å): 4.5176 5.4853 5.4853
angles (deg): 90.00 90.00 90.00
Fractional positions:
Sc (0.5000, 0.0000, 0.0000)
Sr (0.0000, 0.0000, 0.5000)
Sr (0.0000, 0.5000, 0.0000)
B (0.5000, 0.5000, 0.5000)
Co (0.0000, 0.0000, 0.0000)

---

[17]
Compound: CoBSe3
Source: Alexandria
Functional: GGA-PBEsol
Structure: relaxed

Calculated values
crystal system = cubic
uncorrected formation energy = 112 kJ/mol of atoms

a b c (Å): 4.5853 4.5853 4.5853
angles (deg): 90.00 90.00 90.00
Site moments in Bohr magnetons follow the coordinates.
Fractional positions:
B (0.5000, 0.5000, 0.5000)  0.01
Co (0.0000, 0.0000, 0.0000)  0.86
Se (0.0000, 0.5000, 0.0000)  0.13
Se (0.0000, 0.0000, 0.5000)  0.13
Se (0.5000, 0.0000, 0.0000)  0.13

---

[18]
Compound: Sm3Co29Si4B10
Source: Alexandria
Functional: GGA-PBEsol
Structure: relaxed

Calculated values
crystal system = tetragonal
uncorrected formation energy = -46 kJ/mol of atoms

a b c (Å): 7.7327 11.0019 11.0019
angles (deg): 90.00 90.00 90.00
Site moments in Bohr magnetons follow the coordinates.
Fractional positions:
Sm (0.0000, 0.2500, 0.7500)  -0.07
Sm (0.0000, 0.2500, 0.2500)  -0.07
Sm (0.0000, 0.7500, 0.7500)  -0.07
Sm (0.0000, 0.7500, 0.2500)  -0.07
Sm (0.5000, 0.0000, 0.0000)  -0.07
Sm (0.5000, 0.5000, 0.5000)  -0.07
Co (0.3369, 0.3381, 0.6748)  0.56
Co (0.5258, 0.2735, 0.0000)  0.62
Co (0.5258, 0.5000, 0.7735)  0.62
Co (0.5258, 0.5000, 0.2265)  0.62
Co (0.9715, 0.8360, 0.5000)  0.65
Co (0.9715, 0.0000, 0.6640)  0.65
Co (0.9715, 0.0000, 0.3360)  0.65
Co (0.9715, 0.1640, 0.5000)  0.65
Co (0.0285, 0.6640, 0.0000)  0.65
Co (0.0285, 0.3360, 0.0000)  0.65
Co (0.0285, 0.5000, 0.8360)  0.65
Co (0.0285, 0.5000, 0.1640)  0.65
Co (0.2508, 0.8851, 0.3851)  0.78
Co (0.2508, 0.8851, 0.6149)  0.78
Co (0.2508, 0.1149, 0.3851)  0.78
Co (0.2508, 0.1149, 0.6149)  0.78
Co (0.7492, 0.6149, 0.8851)  0.78
Co (0.7492, 0.3851, 0.1149)  0.78
Co (0.7492, 0.3851, 0.8851)  0.78
Co (0.7492, 0.6149, 0.1149)  0.78
Co (0.6990, 0.8902, 0.3902)  0.49
Co (0.6990, 0.8902, 0.6098)  0.49
Co (0.6990, 0.1098, 0.3902)  0.49
Co (0.6990, 0.1098, 0.6098)  0.49
Co (0.3010, 0.6098, 0.8902)  0.49
Co (0.3010, 0.3902, 0.1098)  0.49
Co (0.3010, 0.3902, 0.8902)  0.49
Co (0.3010, 0.6098, 0.1098)  0.49
Co (0.3369, 0.3381, 0.3252)  0.56
Co (0.3369, 0.8252, 0.1619)  0.56
Co (0.3369, 0.1748, 0.8381)  0.56
Co (0.3369, 0.6619, 0.6748)  0.56
Co (0.6631, 0.1619, 0.8252)  0.56
Co (0.6631, 0.8381, 0.1748)  0.56
Co (0.6631, 0.3252, 0.3381)  0.56
Co (0.8891, 0.6097, 0.5000)  0.15
Co (0.6631, 0.1619, 0.1748)  0.56
Co (0.6631, 0.6748, 0.3381)  0.56
Co (0.6631, 0.3252, 0.6619)  0.56
Co (0.6631, 0.8381, 0.8252)  0.56
Co (0.5258, 0.7265, 0.0000)  0.62
Co (0.8891, 0.0000, 0.8903)  0.15
Co (0.3369, 0.1748, 0.1619)  0.56
Co (0.3369, 0.8252, 0.8381)  0.56
Co (0.8891, 0.0000, 0.1097)  0.15
Co (0.8891, 0.3903, 0.5000)  0.15
Co (0.5323, 0.5000, 0.0000)  1.86
Co (0.4677, 0.0000, 0.5000)  1.86
Co (0.1109, 0.1097, 0.0000)  0.15
Co (0.4742, 0.2265, 0.5000)  0.62
Co (0.4742, 0.0000, 0.2735)  0.62
Co (0.4742, 0.0000, 0.7265)  0.62
Co (0.4742, 0.7735, 0.5000)  0.62
Co (0.1109, 0.5000, 0.6097)  0.15
Co (0.1109, 0.5000, 0.3903)  0.15
Co (0.1109, 0.8903, 0.0000)  0.15
Co (0.6631, 0.6748, 0.6619)  0.56
Co (0.3369, 0.6619, 0.3252)  0.56
Si (0.8238, 0.5000, 0.6825)  -0.02
Si (0.1762, 0.3175, 0.5000)  -0.02
Si (0.1762, 0.0000, 0.1825)  -0.02
Si (0.1762, 0.0000, 0.8175)  -0.02
Si (0.1762, 0.6825, 0.5000)  -0.02
Si (0.8238, 0.1825, 0.0000)  -0.02
Si (0.8238, 0.8175, 0.0000)  -0.02
Si (0.8238, 0.5000, 0.3175)  -0.02
B (0.5181, 0.6851, 0.1851)  -0.03
B (0.5181, 0.3149, 0.8149)  -0.03
B (0.5181, 0.3149, 0.1851)  -0.03
B (0.5181, 0.6851, 0.8149)  -0.03
B (0.4819, 0.1851, 0.6851)  -0.03
B (0.4819, 0.1851, 0.3149)  -0.03
B (0.2625, 0.5000, 0.2561)  -0.03
B (0.2625, 0.5000, 0.7439)  -0.03
B (0.2625, 0.2439, 0.0000)  -0.03
B (0.2625, 0.7561, 0.0000)  -0.03
B (0.7375, 0.2561, 0.5000)  -0.03
B (0.7375, 0.0000, 0.2439)  -0.03
B (0.7375, 0.0000, 0.7561)  -0.03
B (0.7375, 0.7439, 0.5000)  -0.03
B (0.1498, 0.5000, 0.0000)  -0.02
B (0.8502, 0.0000, 0.5000)  -0.02
B (0.8912, 0.5000, 0.0000)  -0.03
B (0.1088, 0.0000, 0.5000)  -0.03
B (0.4819, 0.8149, 0.6851)  -0.03
B (0.4819, 0.8149, 0.3149)  -0.03

---

Electronic total energy / eV/cell: -100.0; -36.5; -29.5; -32.3; -87.0; -49.4; -220.8; -220.5; -23.0; -21.1; -47.5; -31.7; -23.4; -16.4; -25.6; -20.4; -20.5; -709.0